# 1
{
  "formula": "CsZn",
  "functional": "GGA-PBE",
  "state": "relaxed",
  "lattice_angstrom": [[6.865, 0.000, 0.000], [-0.346, 7.259, 0.000], [-1.814, -2.044, 7.206]],
  "species": ["Zn", "Cs", "Cs", "Zn", "Zn", "Cs", "Zn", "Cs"],
  "frac_coords": [[0.921, 0.849, 0.779], [0.660, 0.243, 0.472], [0.208, 0.342, 0.853], [0.708, 0.077, 0.972], [0.292, 0.923, 0.028], [0.792, 0.658, 0.147], [0.079, 0.151, 0.221], [0.340, 0.757, 0.528]],
  "spacegroup": "P-1 (2)",
  "polymorph_energy_mev_per_atom": 40
}


# 2
{
  "formula": "CsZn2",
  "functional": "GGA-PBE",
  "state": "relaxed",
  "lattice_angstrom": [[19.983, 0.000, 0.000], [0.000, 4.393, 0.000], [0.000, 0.000, 4.620]],
  "species": ["Cs", "Zn", "Zn", "Cs", "Cs", "Zn", "Zn", "Zn", "Zn", "Zn", "Cs", "Zn"],
  "frac_coords": [[0.630, 0.000, 0.000], [0.969, 0.500, 0.500], [0.036, 0.000, 0.500], [0.130, 0.500, 0.000], [0.314, 0.500, 0.500], [0.909, 0.500, 0.000], [0.469, 0.000, 0.500], [0.475, 0.500, 0.000], [0.536, 0.500, 0.500], [0.975, 0.000, 0.000], [0.814, 0.000, 0.500], [0.409, 0.000, 0.000]],
  "dft_energy_ev_per_cell": -12.4,
  "spacegroup": "Cmcm (63)"
}


# 3
{
  "formula": "CsZn",
  "functional": "GGA-PBE",
  "state": "relaxed",
  "lattice_angstrom": [[-7.098, -4.323, -13.845], [1.147, -4.583, 0.843], [-4.395, -0.649, 2.456]],
  "species": ["Cs", "Zn", "Cs", "Zn", "Cs", "Zn", "Cs", "Zn"],
  "frac_coords": [[0.569, 0.000, 0.000], [0.020, 0.000, 0.500], [0.790, 0.000, 0.500], [0.957, 0.000, 0.000], [0.127, 0.500, 0.000], [0.960, 0.500, 0.500], [0.348, 0.500, 0.500], [0.897, 0.500, 0.000]],
  "spacegroup": "Pmm2 (25)",
  "polymorph_energy_mev_per_atom": 28
}


# 4
{
  "formula": "CsZn",
  "functional": "GGA-PBE",
  "state": "relaxed",
  "lattice_angstrom": [[-6.860, -1.866, -1.653], [2.157, -1.043, -7.772], [1.484, -6.604, 1.298]],
  "species": ["Cs", "Cs", "Cs", "Zn", "Zn", "Zn", "Cs", "Zn"],
  "frac_coords": [[0.473, 0.828, 0.000], [0.973, 0.422, 0.000], [0.361, 0.422, 0.500], [0.830, 0.271, 0.500], [0.330, 0.979, 0.500], [0.503, 0.271, 0.000], [0.861, 0.828, 0.500], [0.003, 0.979, 0.000]],
  "spacegroup": "Pbcm (57)",
  "polymorph_energy_mev_per_atom": 216
}


# 5
{
  "formula": "CsZn",
  "functional": "GGA-PBE",
  "state": "relaxed",
  "lattice_angstrom": [[7.095, 0.000, 0.000], [0.000, 15.504, 0.000], [0.000, 0.000, 6.930]],
  "species": ["Cs", "Cs", "Zn", "Zn", "Cs", "Zn", "Zn", "Zn", "Cs", "Cs", "Zn", "Zn", "Zn", "Cs", "Cs", "Cs"],
  "frac_coords": [[0.260, 0.686, 0.500], [0.354, 0.875, 0.000], [0.610, 0.662, 0.000], [0.723, 0.162, 0.500], [0.980, 0.375, 0.500], [0.866, 0.788, 0.000], [0.467, 0.463, 0.500], [0.467, 0.287, 0.500], [0.073, 0.186, 0.000], [0.556, 0.375, 0.000], [0.723, 0.588, 0.500], [0.610, 0.088, 0.000], [0.866, 0.962, 0.000], [0.073, 0.564, 0.000], [0.777, 0.875, 0.500], [0.260, 0.064, 0.500]],
  "spacegroup": "Pmmn (59)",
  "polymorph_energy_mev_per_atom": 112
}


# 6
{
  "formula": "CsZn",
  "functional": "GGA-PBE",
  "state": "relaxed",
  "lattice_angstrom": [[-1.536, -5.756, -3.170], [3.624, -2.031, 1.933], [-3.458, -1.678, 4.722]],
  "species": ["Zn", "Zn", "Cs", "Cs"],
  "frac_coords": [[0.008, 0.000, 0.000], [0.325, 0.000, 0.500], [0.895, 0.500, 0.500], [0.439, 0.500, 0.000]],
  "spacegroup": "Pmma (51)",
  "polymorph_energy_mev_per_atom": 154
}


# 7
{
  "formula": "CsZn2",
  "functional": "GGA-PBE",
  "state": "relaxed",
  "lattice_angstrom": [[6.592, 0.000, 0.000], [-3.296, 5.709, 0.000], [0.000, 0.000, 9.596]],
  "species": ["Cs", "Cs", "Zn", "Zn", "Zn", "Zn", "Zn", "Zn", "Cs", "Cs", "Zn", "Zn"],
  "frac_coords": [[0.667, 0.333, 0.049], [0.667, 0.333, 0.451], [0.269, 0.135, 0.750], [0.135, 0.865, 0.250], [0.865, 0.731, 0.750], [0.865, 0.135, 0.750], [0.731, 0.865, 0.250], [0.000, 0.000, 0.500], [0.333, 0.667, 0.951], [0.333, 0.667, 0.549], [0.135, 0.269, 0.250], [0.000, 0.000, 0.000]],
  "dft_energy_ev_per_cell": -11.5,
  "spacegroup": "P6_3/mmc (194)"
}


# 8
{
  "formula": "CsZn",
  "functional": "GGA-PBE",
  "state": "relaxed",
  "lattice_angstrom": [[6.901, -0.199, 0.000], [-0.402, 15.290, 0.000], [0.000, 0.000, 4.940]],
  "species": ["Cs", "Zn", "Cs", "Zn", "Zn", "Cs", "Zn", "Zn", "Cs", "Cs", "Zn", "Cs"],
  "frac_coords": [[0.378, 0.125, 0.000], [0.880, 0.290, 0.000], [0.877, 0.473, 0.500], [0.106, 0.923, 0.000], [0.724, 0.906, 0.000], [0.363, 0.353, 0.500], [0.899, 0.874, 0.500], [0.245, 0.963, 0.500], [0.413, 0.755, 0.500], [0.841, 0.101, 0.500], [0.368, 0.546, 0.000], [0.903, 0.692, 0.000]],
  "spacegroup": "Pm (6)",
  "polymorph_energy_mev_per_atom": 130
}


# 9
{
  "formula": "CsZn",
  "functional": "GGA-PBE",
  "state": "relaxed",
  "lattice_angstrom": [[0.000, 3.789, 3.789], [3.789, 0.000, 3.789], [3.789, 3.789, 0.000]],
  "species": ["Zn", "Cs"],
  "frac_coords": [[0.500, 0.500, 0.500], [0.000, 0.000, 0.000]],
  "spacegroup": "Fm-3m (225)",
  "polymorph_energy_mev_per_atom": 202
}


# 10
{
  "formula": "CsZn",
  "functional": "GGA-PBE",
  "state": "relaxed",
  "lattice_angstrom": [[6.752, 0.000, 0.000], [0.000, 10.353, 0.000], [0.000, 0.000, 4.971]],
  "species": ["Cs", "Zn", "Cs", "Zn", "Zn", "Zn", "Cs", "Cs"],
  "frac_coords": [[0.440, 0.000, 0.500], [0.377, 0.710, 0.000], [0.826, 0.318, 0.500], [0.187, 0.500, 0.000], [0.377, 0.290, 0.000], [0.323, 0.500, 0.500], [0.977, 0.000, 0.000], [0.826, 0.682, 0.500]],
  "spacegroup": "Pmm2 (25)",
  "polymorph_energy_mev_per_atom": 139
}


# 11
{
  "formula": "CsZn",
  "functional": "GGA-PBE",
  "state": "relaxed",
  "lattice_angstrom": [[-11.820, -0.275, 2.188], [2.664, -5.939, 6.624], [0.495, 3.727, 3.142]],
  "species": ["Zn", "Zn", "Cs", "Cs", "Zn", "Cs", "Zn", "Zn", "Cs", "Cs", "Cs", "Zn"],
  "frac_coords": [[0.871, 0.719, 0.000], [0.822, 0.849, 0.500], [0.859, 0.185, 0.000], [0.544, 0.027, 0.500], [0.067, 0.874, 0.000], [0.345, 0.695, 0.000], [0.017, 0.002, 0.500], [0.199, 0.897, 0.500], [0.031, 0.537, 0.500], [0.253, 0.200, 0.000], [0.636, 0.522, 0.500], [0.691, 0.826, 0.000]],
  "spacegroup": "Pm (6)",
  "polymorph_energy_mev_per_atom": 30
}


# 12
{
  "formula": "CsZn",
  "functional": "GGA-PBE",
  "state": "relaxed",
  "lattice_angstrom": [[3.538, -2.603, -4.118], [9.613, 8.422, -0.823], [2.770, -2.759, 4.124]],
  "species": ["Cs", "Zn", "Cs", "Cs", "Zn", "Zn", "Zn", "Zn", "Cs", "Cs"],
  "frac_coords": [[0.896, 0.333, 0.000], [0.788, 0.601, 0.500], [0.166, 0.869, 0.500], [0.288, 0.600, 0.000], [0.975, 0.136, 0.500], [0.099, 0.059, 0.000], [0.484, 0.140, 0.000], [0.569, 0.064, 0.500], [0.394, 0.331, 0.500], [0.674, 0.867, 0.000]],
  "spacegroup": "Pm (6)",
  "polymorph_energy_mev_per_atom": 145
}


# 13
{
  "formula": "CsZn3",
  "functional": "GGA-PBE",
  "state": "relaxed",
  "lattice_angstrom": [[6.751, -3.905, 0.000], [0.138, 8.048, 0.000], [0.000, 0.000, 4.294]],
  "species": ["Zn", "Zn", "Zn", "Zn", "Cs", "Zn", "Cs", "Zn"],
  "frac_coords": [[0.298, 0.446, 0.500], [0.304, 0.106, 0.500], [0.185, 0.220, 0.000], [0.648, 0.447, 0.500], [0.747, 0.994, 0.500], [0.536, 0.221, 0.000], [0.086, 0.673, 0.000], [0.530, 0.560, 0.000]],
  "spacegroup": "P2_1/m (11)",
  "polymorph_energy_mev_per_atom": 121
}


# 14
{
  "formula": "CsZn",
  "functional": "GGA-PBE",
  "state": "relaxed",
  "lattice_angstrom": [[3.858, 6.691, 0.000], [-8.971, 9.644, 0.000], [0.000, 0.000, 4.711]],
  "species": ["Zn", "Cs", "Cs", "Zn", "Cs", "Cs", "Zn", "Cs", "Zn", "Zn"],
  "frac_coords": [[0.765, 0.948, 0.500], [0.948, 0.428, 0.000], [0.518, 0.800, 0.000], [0.912, 0.652, 0.500], [0.406, 0.525, 0.500], [0.576, 0.172, 0.000], [0.077, 0.800, 0.500], [0.132, 0.075, 0.500], [0.947, 0.907, 0.000], [0.053, 0.693, 0.000]],
  "spacegroup": "Pm (6)",
  "polymorph_energy_mev_per_atom": 0
}


# 15
{
  "formula": "CsZn",
  "functional": "GGA-PBE",
  "state": "relaxed",
  "lattice_angstrom": [[-5.928, 2.988, 6.976], [2.381, -5.914, 4.557], [3.518, 2.797, 1.791]],
  "species": ["Cs", "Zn", "Zn", "Zn", "Cs", "Cs", "Zn", "Cs"],
  "frac_coords": [[0.587, 0.749, 0.000], [0.895, 0.813, 0.500], [0.938, 0.937, 0.000], [0.438, 0.313, 0.000], [0.087, 0.501, 0.000], [0.746, 0.249, 0.500], [0.395, 0.437, 0.500], [0.246, 0.001, 0.500]],
  "spacegroup": "Pnma (62)",
  "polymorph_energy_mev_per_atom": 32
}


# 16
{
  "formula": "CsZn",
  "functional": "GGA-PBE",
  "state": "relaxed",
  "lattice_angstrom": [[-2.303, 3.504, -9.698], [-7.812, -3.042, 2.029], [-1.755, 6.306, 2.695]],
  "species": ["Cs", "Zn", "Zn", "Cs", "Zn", "Zn", "Cs", "Cs", "Cs", "Zn", "Cs", "Zn"],
  "frac_coords": [[0.663, 0.747, 0.000], [0.961, 0.234, 0.500], [0.043, 0.627, 0.000], [0.266, 0.304, 0.000], [0.180, 0.428, 0.500], [0.183, 0.130, 0.500], [0.843, 0.246, 0.000], [0.558, 0.308, 0.500], [0.379, 0.809, 0.500], [0.262, 0.825, 0.000], [0.956, 0.751, 0.500], [0.039, 0.925, 0.000]],
  "spacegroup": "Pm (6)",
  "polymorph_energy_mev_per_atom": 125
}


# 17
{
  "formula": "Cs3Zn4",
  "functional": "GGA-PBE",
  "state": "relaxed",
  "lattice_angstrom": [[7.838, 9.048, 0.000], [-3.915, 11.307, 0.000], [0.000, 0.000, 4.894]],
  "species": ["Cs", "Cs", "Cs", "Zn", "Cs", "Cs", "Zn", "Zn", "Zn", "Zn", "Zn", "Zn", "Cs", "Zn"],
  "frac_coords": [[0.482, 0.305, 0.500], [0.470, 0.933, 0.000], [0.169, 0.612, 0.000], [0.127, 0.417, 0.500], [0.163, 0.926, 0.500], [0.789, 0.313, 0.000], [0.809, 0.953, 0.500], [0.926, 0.968, 0.000], [0.825, 0.821, 0.000], [0.274, 0.169, 0.500], [0.143, 0.285, 0.000], [0.026, 0.271, 0.500], [0.783, 0.626, 0.500], [0.678, 0.069, 0.000]],
  "spacegroup": "P2_1/m (11)",
  "polymorph_energy_mev_per_atom": 73
}


# 18
{
  "formula": "CsZn8",
  "functional": "GGA-PBE",
  "state": "relaxed",
  "lattice_angstrom": [[4.367, -7.563, 0.000], [4.367, 7.563, 0.000], [0.000, 0.000, 4.780]],
  "species": ["Cs", "Zn", "Zn", "Zn", "Zn", "Zn", "Zn", "Zn", "Zn"],
  "frac_coords": [[0.000, 0.000, 0.000], [0.667, 0.333, 0.500], [0.171, 0.829, 0.500], [0.333, 0.667, 0.500], [0.171, 0.341, 0.500], [0.829, 0.659, 0.500], [0.341, 0.171, 0.500], [0.659, 0.829, 0.500], [0.829, 0.171, 0.500]],
  "dft_energy_ev_per_cell": -6.2,
  "spacegroup": "P6/mmm (191)"
}


# 19
{
  "formula": "CsZn",
  "functional": "GGA-PBE",
  "state": "relaxed",
  "lattice_angstrom": [[2.716, -5.196, 0.162], [1.339, -2.450, 5.159], [-2.893, -4.766, 1.822]],
  "species": ["Cs", "Zn"],
  "frac_coords": [[0.000, 0.000, 0.000], [0.250, 0.250, 0.250]],
  "spacegroup": "F-43m (216)",
  "polymorph_energy_mev_per_atom": 390
}


# 20
{
  "formula": "CsZn2",
  "functional": "GGA-PBE",
  "state": "relaxed",
  "lattice_angstrom": [[4.689, -4.632, 3.093], [6.840, 2.098, 1.350], [-1.268, 1.476, 4.133]],
  "species": ["Zn", "Zn", "Cs", "Zn", "Cs", "Zn"],
  "frac_coords": [[0.873, 0.460, 0.500], [0.667, 0.667, 0.000], [0.000, 0.000, 0.000], [0.460, 0.666, 0.500], [0.333, 0.333, 0.000], [0.667, 0.873, 0.500]],
  "dft_energy_ev_per_cell": -5.7,
  "spacegroup": "P-62m (189)"
}